# SrEuSnAu

A geometry-optimized SrEuSnAu structure (GGA-PBE, Alexandria via LeMat-Bulk).

## Properties
Volume, Å³/atom: 29.61
DOS(E_F), states/eV/atom: 3.3100
ρ, g/cm³: 7.8
E, eV per cell: -87.713

Unit cell a=7.796 b=7.796 c=7.796 alpha=90.00 beta=90.00 gamma=90.00
Space group F-43m (No. 216)
Symmetry-distinct sites (fractional):
Sr 0.000 0.000 0.000 x4
Eu 0.000 0.000 0.500 x4
Sn 0.250 0.250 0.250 x4
Au 0.250 0.250 0.750 x4

---

# TbEuSnAu

A geometry-optimized TbEuSnAu structure (GGA-PBE, Alexandria via LeMat-Bulk).

## Properties
Volume, Å³/atom: 26.85
DOS(E_F), states/eV/atom: 2.0541
ρ, g/cm³: 9.7
E, eV per cell: -100.456

Unit cell a=7.546 b=7.546 c=7.546 alpha=90.00 beta=90.00 gamma=90.00
Space group F-43m (No. 216)
Symmetry-distinct sites (fractional):
Tb 0.000 0.000 0.000 x4
Eu 0.000 0.000 0.500 x4
Sn 0.250 0.250 0.750 x4
Au 0.250 0.250 0.250 x4

---

Copy entry 2 word for word.
# TbEuSnAu

A geometry-optimized TbEuSnAu structure (GGA-PBE, Alexandria via LeMat-Bulk).

## Properties
Volume, Å³/atom: 26.85
DOS(E_F), states/eV/atom: 2.0541
ρ, g/cm³: 9.7
E, eV per cell: -100.456

Unit cell a=7.546 b=7.546 c=7.546 alpha=90.00 beta=90.00 gamma=90.00
Space group F-43m (No. 216)
Symmetry-distinct sites (fractional):
Tb 0.000 0.000 0.000 x4
Eu 0.000 0.000 0.500 x4
Sn 0.250 0.250 0.750 x4
Au 0.250 0.250 0.250 x4